No. 1
# Pr2HPtRh6

An optimized crystal structure of Pr2HPtRh6 (PBE-GGA, Alexandria).

Unit cell a=5.593 b=7.084 c=7.098 alpha=46.40 beta=66.79 gamma=90.04
Positions (direct):
Rh 0.728 0.271 0.068
Rh 0.728 0.791 0.546
Rh 0.272 0.729 0.932
Rh 0.792 0.729 0.934
Rh 0.272 0.209 0.454
Rh 0.208 0.271 0.066
Pt 0.000 0.000 0.000
H 0.500 0.500 0.000
Pr 0.717 0.285 0.567
Pr 0.283 0.715 0.433

Results
Energy = -6.692 eV/atom

No. 2
# Tb5ScTe6

An optimized crystal structure of Tb5ScTe6 (PBE-GGA, Alexandria).

Unit cell a=7.514 b=7.514 c=7.537 alpha=99.53 beta=99.53 gamma=120.24
Positions (direct):
Sc 0.000 0.000 0.000
Tb 0.500 0.500 0.500
Tb 0.666 0.334 0.000
Tb 0.824 0.176 0.500
Tb 0.334 0.666 0.000
Tb 0.176 0.824 0.500
Te 0.080 0.402 0.242
Te 0.402 0.080 0.242
Te 0.238 0.238 0.749
Te 0.762 0.762 0.251
Te 0.920 0.598 0.758
Te 0.598 0.920 0.758

Results
Uncorrected formation energy = -15.3 eV/f.u.

No. 3
# Be2ReBr

An optimized crystal structure of Be2ReBr (PBE-GGA, Alexandria).

Unit cell a=4.839 b=4.839 c=4.839 alpha=144.85 beta=123.34 gamma=68.45
Positions (direct):
Be 0.999 0.999 0.000
Be 0.501 0.501 0.000
Re 0.250 0.750 0.500
Br 0.750 0.250 0.500

Results
Polymorph energy (0 for the lowest one) = 613.0 meV per atom
Uncorrected formation energy = 4.0 eV/f.u.

No. 4
# ZrTaMo2

An optimized crystal structure of ZrTaMo2 (PBE-GGA, Alexandria).

Unit cell a=7.349 b=7.349 c=5.915 alpha=51.59 beta=51.59 gamma=90.00
Positions (direct):
Mo 0.109 0.625 0.250
Mo 0.875 0.891 0.750
Mo 0.375 0.359 0.750
Mo 0.641 0.125 0.250
Zr 0.500 0.500 0.000
Zr 0.250 0.750 0.500
Ta 0.000 0.000 0.000
Ta 0.750 0.250 0.500

Results
ΔH_f (0 K) = 2.618 eV per formula unit
Polymorph energy (0 for the lowest one) = 728.7 meV per atom

No. 5
# Ni2RhAu

An optimized crystal structure of Ni2RhAu (PBE-GGA, Alexandria).

Unit cell a=2.738 b=2.738 c=7.315 alpha=90.00 beta=90.00 gamma=90.00
Last column: magnetic moment on the atom in μB.
Positions (direct):
Ni 0.000 0.000 0.485  0.70
Ni 0.000 0.000 0.015  0.70
Rh 0.500 0.500 0.250  0.83
Au 0.500 0.500 0.750  0.01

Results
ΔH_f (0 K) = 0.329 eV per formula unit

No. 6
# YCuPS2

An optimized crystal structure of YCuPS2 (PBE-GGA, Alexandria).

Unit cell a=5.200 b=5.200 c=5.364 alpha=90.00 beta=90.00 gamma=90.00
Last column: magnetic moment on the atom in μB.
Positions (direct):
S 0.500 0.000 0.000  0.13
S 0.000 0.500 0.000  0.13
P 0.000 0.000 0.500  0.39
Cu 0.500 0.500 0.500  0.04
Y 0.000 0.000 0.000  0.00

Results
Polymorph energy (0 for the lowest one) = 732.5 meV per atom
Uncorrected formation energy = 1.9 eV/f.u.

No. 7
# HfReAuI2

An optimized crystal structure of HfReAuI2 (PBE-GGA, Alexandria).

Unit cell a=5.625 b=5.161 c=5.625 alpha=90.00 beta=90.00 gamma=90.00
Last column: magnetic moment on the atom in μB.
Positions (direct):
Au 0.500 0.500 0.500  -0.22
Hf 0.000 0.000 0.000  -0.22
I 0.500 0.000 0.000  -0.01
I 0.000 0.000 0.500  0.02
Re 0.000 0.500 0.000  2.35

Results
Uncorrected formation energy = 6.0 eV/f.u.

No. 8
# AlCd5

An optimized crystal structure of AlCd5 (PBE-GGA, Alexandria).

Unit cell a=5.729 b=5.729 c=5.184 alpha=90.00 beta=90.00 gamma=120.00
Positions (direct):
Cd 0.333 0.667 0.000
Cd 0.667 0.333 0.000
Cd 0.500 0.500 0.500
Cd 0.000 0.500 0.500
Cd 0.500 0.000 0.500
Al 0.000 0.000 0.000

Results
ΔH_f (0 K) = 1.453 eV per formula unit
Polymorph energy (0 for the lowest one) = 187.8 meV per atom

No. 9
# Pr4Dy3Y

An optimized crystal structure of Pr4Dy3Y (PBE-GGA, Alexandria).

Unit cell a=3.657 b=6.305 c=12.316 alpha=75.24 beta=98.54 gamma=90.00
Positions (direct):
Pr 0.748 0.754 0.497
Pr 0.377 0.457 0.753
Pr 0.252 0.246 0.503
Pr 0.623 0.543 0.247
Dy 0.123 0.046 0.246
Dy 0.000 0.500 0.000
Dy 0.877 0.954 0.754
Y 0.500 0.000 0.000

Results
ΔH_f (0 K) = 0.072 eV per formula unit
Polymorph energy (0 for the lowest one) = 0.0 meV per atom

No. 10
# Hf2NiC

An optimized crystal structure of Hf2NiC (PBE-GGA, Alexandria).

Unit cell a=3.225 b=3.225 c=6.586 alpha=104.11 beta=104.12 gamma=90.15
Positions (direct):
Ni 0.221 0.881 0.228
Hf 0.584 0.244 0.954
Hf 0.858 0.518 0.502
C 0.471 0.631 0.728

Results
ΔH_f (0 K) = -0.464 eV per formula unit

No. 11
# Co2RhBr

An optimized crystal structure of Co2RhBr (PBE-GGA, Alexandria).

Unit cell a=2.938 b=4.381 c=4.455 alpha=90.00 beta=90.00 gamma=90.00
Last column: magnetic moment on the atom in μB.
Positions (direct):
Br 0.000 0.500 0.500  0.08
Rh 0.500 0.000 0.500  0.48
Co 0.000 0.000 0.000  1.86
Co 0.500 0.500 0.000  1.78

Results
Polymorph energy (0 for the lowest one) = 291.5 meV per atom
Uncorrected formation energy = 2.9 eV/f.u.

No. 12
# Cd2FeSb

An optimized crystal structure of Cd2FeSb (PBE-GGA, Alexandria).

Unit cell a=4.714 b=4.714 c=8.284 alpha=59.51 beta=59.51 gamma=38.17
Last column: magnetic moment on the atom in μB.
Positions (direct):
Sb 0.187 0.187 0.375  -0.06
Fe 0.467 0.467 0.375  1.33
Cd 0.762 0.762 0.696  -0.03
Cd 0.084 0.084 0.054  -0.03

Results
Uncorrected formation energy = 0.8 eV/f.u.

no.,DOS at the Fermi energy (states/eV/atom),total magnetic moment (μB/f.u.)
1,1.07,0.00
2,0.55,0.00
3,0.78,0.00
4,0.92,0.00
5,1.26,2.17
6,0.95,1.32
7,1.08,2.24
8,0.53,0.00
9,1.38,0.00
10,0.67,0.00
11,1.66,4.09
12,0.32,1.10